No. 1
DFT (PBE) results for AlCr2Mo after structural relaxation.

Results
Formation energy from the elements   0.143 eV per atom
Magnetization   0.536 μB per formula unit
Volume   54.4 Å³/cell
Crystal system   orthorhombic
Mass density   6.9 Mg/m³

Cell and atoms, written as extended XYZ:
```
4
Lattice="2.5563 0.0000 0.0000 0.0000 4.1657 0.0000 0.0000 0.0000 5.1127" Properties=species:S:1:pos:R:3 pbc="T T T"
Al 0.0000 0.0000 0.0000
Cr 0.0000 0.0000 2.4923
Cr 1.2782 2.0828 1.2105
Mo 1.2782 2.0828 3.7798
```

No. 2
DFT (PBE) results for SmTm8Cd2 after structural relaxation.

Results
Formation energy from the elements   0.047 eV per atom
Magnetization   0.000 μB per formula unit
Volume   329.8 Å³/cell
Crystal system   monoclinic
Mass density   8.7 Mg/m³

Cell and atoms, written as extended XYZ:
```
11
Lattice="4.3560 -7.4301 0.0000 4.3560 7.4301 0.0000 -2.0563 0.0000 5.0949" Properties=species:S:1:pos:R:3 pbc="T T T"
Sm 0.0000 0.0000 0.0000
Tm 0.5397 1.6854 3.1386
Tm 4.3560 4.1353 0.0000
Tm 0.5397 -1.6854 3.1386
Tm 3.0831 0.0000 1.0306
Tm 3.5726 0.0000 4.0644
Tm 6.1159 1.6854 1.9563
Tm 4.3560 -4.1353 0.0000
Tm 6.1159 -1.6854 1.9563
Cd 3.3278 2.8715 2.5475
Cd 3.3278 -2.8715 2.5475
```

No. 3
DFT (PBE) results for CaTc2Br after structural relaxation.

Results
Formation energy (no corrections)   0.9627 eV/atom
Magnetization   0.000 μB per formula unit
Volume   162.4 Å³/cell
Crystal system   tetragonal
Mass density   6.5 Mg/m³

Cell and atoms, written as extended XYZ:
```
8
Lattice="-3.8827 3.8827 2.6929 3.8827 -3.8827 2.6929 3.8827 3.8827 -2.6929" Properties=species:S:1:pos:R:3 pbc="T T T"
Ca 0.0000 0.0000 0.0000
Ca 0.0000 3.8827 1.3465
Tc 1.9413 -1.3036 2.0197
Tc 2.5791 1.9413 0.6732
Tc 1.9413 5.1863 -0.6732
Tc 1.3036 1.9413 3.3662
Br 3.8827 0.0000 1.3465
Br 0.0000 0.0000 2.6929
```

No. 4
DFT (PBE) results for Li14AgSn after structural relaxation.

Results
Formation energy from the elements   -0.117 eV per atom
Magnetization   0.000 μB per formula unit
Volume   296.9 Å³/cell
Crystal system   tetragonal
Mass density   1.8 Mg/m³

Cell and atoms, written as extended XYZ:
```
16
Lattice="6.8208 0.0000 0.0000 0.0000 6.8208 0.0000 0.0000 0.0000 6.3818" Properties=species:S:1:pos:R:3 pbc="T T T"
Li 0.0000 0.0000 0.0000
Li 0.0000 3.4104 0.0000
Li 0.0000 3.4104 3.1909
Li 1.6774 1.6774 1.6937
Li 1.6774 1.6774 4.6882
Li 1.6774 5.1434 1.6937
Li 1.6774 5.1434 4.6882
Li 3.4104 0.0000 0.0000
Li 3.4104 0.0000 3.1909
Li 3.4104 3.4104 0.0000
Li 5.1434 1.6774 1.6937
Li 5.1434 1.6774 4.6882
Li 5.1434 5.1434 1.6937
Li 5.1434 5.1434 4.6882
Ag 0.0000 0.0000 3.1909
Sn 3.4104 3.4104 3.1909
```

No. 5
DFT (PBE) results for GaHgGe after structural relaxation.

Results
Formation energy from the elements   0.098 eV per atom
Magnetization   0.000 μB per formula unit
Volume   150.8 Å³/cell
Crystal system   orthorhombic
Mass density   7.6 Mg/m³

Cell and atoms, written as extended XYZ:
```
6
Lattice="2.1674 -8.1682 0.0000 2.1674 8.1682 0.0000 0.0000 0.0000 4.2586" Properties=species:S:1:pos:R:3 pbc="T T T"
Ga 2.1674 6.2081 3.1939
Ga 2.1674 -6.2081 1.0646
Hg 2.1674 4.5517 1.0646
Hg 2.1674 -4.5517 3.1939
Ge 2.1674 0.7077 1.0646
Ge 2.1674 -0.7077 3.1939
```

No. 6
DFT (PBE) results for CuRe2Te after structural relaxation.

Results
Formation energy (no corrections)   0.8536 eV/atom
Magnetization   0.000 μB per formula unit
Volume   65.8 Å³/cell
Crystal system   orthorhombic
Mass density   14.2 Mg/m³

Cell and atoms, written as extended XYZ:
```
4
Lattice="3.1532 0.0000 0.0000 0.0000 4.4293 0.0000 0.0000 0.0000 4.7142" Properties=species:S:1:pos:R:3 pbc="T T T"
Cu 0.0000 0.0000 0.0000
Re 0.0000 2.2147 2.3571
Re 1.5766 0.0000 2.3571
Te 1.5766 2.2147 0.0000
```

No. 7
DFT (PBE) results for CdReNi2 after structural relaxation.

Results
Formation energy from the elements   0.186 eV per atom
Magnetization   0.000 μB per formula unit
Volume   57.2 Å³/cell
Crystal system   trigonal
Mass density   12.1 Mg/m³

Cell and atoms, written as extended XYZ:
```
4
Lattice="1.3794 0.7964 8.6740 -1.3794 0.7964 8.6740 0.0000 -1.5928 8.6740" Properties=species:S:1:pos:R:3 pbc="T T T"
Cd 0.0000 0.0000 0.0000
Re 0.0000 0.0000 13.0111
Ni 0.0000 0.0000 6.3585
Ni 0.0000 0.0000 19.6637
```

No. 8
DFT (PBE) results for SrAc12Pd7 after structural relaxation.

Results
Formation energy from the elements   -0.480 eV per atom
Magnetization   0.000 μB per formula unit
Volume   763.9 Å³/cell
Crystal system   trigonal
Mass density   7.7 Mg/m³

Cell and atoms, written as extended XYZ:
```
20
Lattice="7.8526 4.5337 3.5760 -7.8526 4.5337 3.5760 0.0000 -9.0674 3.5760" Properties=species:S:1:pos:R:3 pbc="T T T"
Sr 0.0000 0.0000 0.0000
Ac -4.8709 1.4310 3.5390
Ac -1.7722 -1.7332 3.5733
Ac 1.1962 -4.9338 3.5390
Ac -3.6747 -3.5028 7.1891
Ac -0.6149 2.4014 3.5733
Ac 2.3872 -0.6682 3.5733
Ac -2.3872 0.6682 7.1549
Ac 0.6149 -2.4014 7.1549
Ac 3.6747 3.5028 3.5390
Ac -1.1962 4.9338 7.1891
Ac 1.7722 1.7332 7.1549
Ac 4.8709 -1.4310 7.1891
Pd -2.4959 0.6972 1.8701
Pd 0.6441 -2.5102 1.8701
Pd 1.8518 1.8129 1.8701
Pd 0.0000 0.0000 5.3641
Pd -1.8518 -1.8129 8.8581
Pd -0.6441 2.5102 8.8581
Pd 2.4960 -0.6972 8.8581
```